# Er2PtS | the Alexandria database | PBE | relaxed
# ΔE_f (raw) (eV per formula unit): -6.5
# DOS(E_F) (states/eV/cell): 10.76
# Calculated volume (A^3/atom): 21.52
data_Er2PtS
_symmetry_space_group_name_H-M 'C m c m'
_symmetry_Int_Tables_number 63
_symmetry_space_group_name_Hall '-C 2c 2'
_cell_length_a 3.7820
_cell_length_b 22.1058
_cell_length_c 4.1187
_cell_angle_alpha 90.00
_cell_angle_beta 90.00
_cell_angle_gamma 90.00
loop_
_atom_site_label
_atom_site_type_symbol
_atom_site_fract_x
_atom_site_fract_y
_atom_site_fract_z
Er1 Er 0.0000 0.0666 0.2500
Er2 Er 0.0000 0.3180 0.2500
Pt1 Pt 0.0000 0.4511 0.2500
S1 S 0.0000 0.1935 0.2500

# MgCuTc2 | the Alexandria database | PBE | relaxed
# DOS(E_F) (states/eV/cell): 20.81
# Energy relative to the elements (eV per atom): 0.3661
# Calculated volume (A^3/atom): 14.83
data_MgCuTc2
_symmetry_space_group_name_H-M 'R -3 m'
_symmetry_Int_Tables_number 166
_symmetry_space_group_name_Hall '-R 3 2"'
_cell_length_a 2.7452
_cell_length_b 2.7452
_cell_length_c 27.2597
_cell_angle_alpha 90.00
_cell_angle_beta 90.00
_cell_angle_gamma 120.00
loop_
_atom_site_label
_atom_site_type_symbol
_atom_site_fract_x
_atom_site_fract_y
_atom_site_fract_z
Mg1 Mg 0.0000 0.0000 0.0000
Cu1 Cu 0.0000 0.0000 0.5000
Tc1 Tc 0.0000 0.0000 0.2461

# CaCr2BRu | the Alexandria database | PBE | relaxed
# DOS(E_F) (states/eV/cell): 13.13
# Energy relative to the elements (eV per atom): 2.8458
# Calculated volume (A^3/atom): 14.86
data_CaCr2BRu
_symmetry_space_group_name_H-M 'P 4/m m m'
_symmetry_Int_Tables_number 123
_symmetry_space_group_name_Hall '-P 4 2'
_cell_length_a 4.1488
_cell_length_b 4.1488
_cell_length_c 4.3172
_cell_angle_alpha 90.00
_cell_angle_beta 90.00
_cell_angle_gamma 90.00
loop_
_atom_site_label
_atom_site_type_symbol
_atom_site_fract_x
_atom_site_fract_y
_atom_site_fract_z
Ca1 Ca 0.0000 0.0000 0.0000
Cr1 Cr 0.0000 0.5000 0.0000
B1 B 0.0000 0.0000 0.5000
Ru1 Ru 0.5000 0.5000 0.5000

# EuCrN | the Alexandria database | PBE | relaxed
# ΔE_f (raw) (eV per formula unit): 0.3
# DOS(E_F) (states/eV/cell): 4.62
# Calculated volume (A^3/atom): 14.05
data_EuCrN
_symmetry_space_group_name_H-M 'I 4 m m'
_symmetry_Int_Tables_number 107
_symmetry_space_group_name_Hall 'I 4 -2'
_cell_length_a 2.8108
_cell_length_b 2.8108
_cell_length_c 10.6725
_cell_angle_alpha 90.00
_cell_angle_beta 90.00
_cell_angle_gamma 90.00
loop_
_atom_site_label
_atom_site_type_symbol
_atom_site_fract_x
_atom_site_fract_y
_atom_site_fract_z
Eu1 Eu 0.0000 0.0000 0.0000
Cr1 Cr 0.0000 0.0000 0.2805
N1 N 0.0000 0.0000 0.7381

# KMgAg2 | the Alexandria database | PBE | relaxed
# DOS(E_F) (states/eV/cell): 2.46
# Energy relative to the elements (eV per atom): 0.1222
# Calculated volume (A^3/atom): 23.89
data_KMgAg2
_symmetry_space_group_name_H-M 'C 1 2/m 1'
_symmetry_Int_Tables_number 12
_cell_length_a 7.7407
_cell_length_b 7.7378
_cell_length_c 3.1914
_cell_angle_alpha 90.00
_cell_angle_beta 90.12
_cell_angle_gamma 90.00
loop_
_symmetry_equiv_pos_as_xyz
'x,y,z'
'-x,-y,-z'
'-x,y,-z'
'x,-y,z'
'x+1/2,y+1/2,z'
'-x+1/2,-y+1/2,-z'
'-x+1/2,y+1/2,-z'
'x+1/2,-y+1/2,z'
loop_
_atom_site_label
_atom_site_type_symbol
_atom_site_fract_x
_atom_site_fract_y
_atom_site_fract_z
K1 K 0.0000 0.0000 0.0000
Mg1 Mg 0.0000 0.5000 0.0000
Ag1 Ag 0.2500 0.2500 0.5000

# Cr2FeCu | the Alexandria database | PBE | relaxed
# DOS(E_F) (states/eV/cell): 3.70
# Energy relative to the elements (eV per atom): 0.2169
# Calculated volume (A^3/atom): 11.35
data_Cr2FeCu
_symmetry_space_group_name_H-M 'P m m m'
_symmetry_Int_Tables_number 47
_cell_length_a 2.5046
_cell_length_b 3.6332
_cell_length_c 4.9884
_cell_angle_alpha 90.00
_cell_angle_beta 90.00
_cell_angle_gamma 90.00
loop_
_symmetry_equiv_pos_as_xyz
'x,y,z'
'-x,-y,-z'
'-x,-y,z'
'x,y,-z'
'x,-y,-z'
'-x,y,z'
'-x,y,-z'
'x,-y,z'
loop_
_atom_site_label
_atom_site_type_symbol
_atom_site_fract_x
_atom_site_fract_y
_atom_site_fract_z
Cr1 Cr 0.0000 0.0000 0.2323
Fe1 Fe 0.5000 0.5000 0.0000
Cu1 Cu 0.5000 0.5000 0.5000

Number 1: M_tot 0.00 μB/cell. Number 2: M_tot 1.81 μB/cell. Number 3: M_tot 0.03 μB/cell. Number 4: M_tot 13.04 μB/cell. Number 5: M_tot 0.00 μB/cell. Number 6: M_tot 0.03 μB/cell.